1.
# BaPtPbS2 PBE-GGA relaxed
# size of the total moment = 0.000 Bohr magnetons per cell
# formation energy (no corrections) = -116 meV per atom
# final energy = -4.1013 eV/atom
# space-group type = P4/mmm, No. 123
data_BaPtPbS2
_space_group_name_H-M_alt 'P 1'
_space_group_IT_number 1
_space_group_name_Hall 'P 1'
_cell_length_a 5.032
_cell_length_b 5.468
_cell_length_c 5.032
_cell_angle_alpha 90.00
_cell_angle_beta 90.00
_cell_angle_gamma 90.00
loop_
_atom_site_label
_atom_site_fract_x
_atom_site_fract_y
_atom_site_fract_z
_atom_site_occupancy
S1 0.000 0.000 0.500 1
S2 0.500 0.000 0.000 1
Pt1 0.000 0.000 0.000 1
Ba1 0.000 0.500 0.000 1
Pb1 0.500 0.500 0.500 1

=====

2.
# Ba2SbPt4Pb3 PBE-GGA relaxed
# size of the total moment = 0.000 Bohr magnetons per cell
# formation energy (no corrections) = -585 meV per atom
# final energy = -4.9105 eV/atom
# space-group type = P-4m2, No. 115
data_Ba2SbPt4Pb3
_space_group_name_H-M_alt 'P 1'
_space_group_IT_number 1
_space_group_name_Hall 'P 1'
_cell_length_a 4.984
_cell_length_b 4.984
_cell_length_c 10.655
_cell_angle_alpha 90.00
_cell_angle_beta 90.00
_cell_angle_gamma 90.00
loop_
_atom_site_label
_atom_site_fract_x
_atom_site_fract_y
_atom_site_fract_z
_atom_site_occupancy
Pt1 0.500 0.000 0.618 1
Ba1 0.500 0.000 0.244 1
Pt2 0.500 0.500 0.000 1
Pt3 0.000 0.500 0.382 1
Pb1 0.000 0.500 0.119 1
Pb2 0.500 0.000 0.881 1
Pb3 0.000 0.000 0.500 1
Ba2 0.000 0.500 0.756 1
Pt4 0.000 0.000 0.000 1
Sb1 0.500 0.500 0.500 1